Here is a geometry-optimized SrMg9Cd2 structure from Alexandria. Energies are from PBE-GGA.

Output
Calculated total energy in eV per formula unit: -18.51
Fermi-level density of states in states/eV per atom: 0.313
Excess energy over the best structure of this formula in the dataset in meV per atom: 54
ρ in g cm⁻³: 2.979
Calculated formation energy in eV per atom: -0.05

a = 10.0284 Å, b = 10.0284 Å, c = 3.3999 Å
α = 90.00°, β = 90.00°, γ = 120.00°
Space group P6/mmm (No. 191)
Inequivalent atoms, fractional coordinates:
Sr  0.0000  0.0000  0.0000
Mg  0.0000  0.5000  0.0000
Mg  0.1856  0.3711  0.5000
Cd  0.3333  0.6667  0.0000